(1)
# Ac3In2Si2

Ac3In2Si2 after structural relaxation (GGA-PBE, the Alexandria database).

Cell: 4.201 6.570 9.081 Å, 115.14 90.00 108.65°
Element x y z (fractional)
In 0.968 0.937 0.668
In 0.032 0.063 0.332
Ac 0.500 0.000 0.000
Ac 0.696 0.391 0.665
Ac 0.304 0.609 0.335
Si 0.196 0.391 0.937
Si 0.804 0.609 0.063

- energy relative to the elements, uncorrected (eV/atom) = -0.49
- space-group type = No. 12



(2)
# Pr2US3

Pr2US3 after structural relaxation (GGA-PBE, the Alexandria database).

Cell: 3.947 3.947 20.608 Å, 90.00 90.00 120.00°
Site moments in Bohr magnetons follow the coordinates.
Element x y z (fractional)
S 0.333 0.667 0.329  -0.04
S 0.667 0.333 0.671  -0.04
S 0.333 0.667 0.171  -0.04
S 0.000 0.000 0.500  0.00
S 0.000 0.000 0.000  0.00
S 0.667 0.333 0.829  -0.04
Pr 0.667 0.333 0.087  -0.01
Pr 0.667 0.333 0.413  -0.01
Pr 0.333 0.667 0.913  -0.01
Pr 0.333 0.667 0.587  -0.01
U 0.000 0.000 0.250  2.37
U 0.000 0.000 0.750  2.37

- energy relative to the elements, uncorrected (eV/atom) = -1.74
- space-group type = No. 194



(3)
# YHf2Ni2

YHf2Ni2 after structural relaxation (GGA-PBE, the Alexandria database).

Cell: 4.613 4.613 5.931 Å, 67.11 67.11 90.00°
Site moments in Bohr magnetons follow the coordinates.
Element x y z (fractional)
Ni 0.750 0.250 0.500  0.01
Ni 0.250 0.750 0.500  0.01
Hf 0.346 0.346 0.307  0.09
Hf 0.654 0.654 0.693  0.09
Y 0.000 0.000 0.000  0.01

- formation enthalpy at 0 K (eV/atom) = -0.017
- space-group type = No. 139
- excess energy over the best structure of this formula in the dataset (meV/atom) = 284.2



(4)
# Nd4Tl3Ag

Nd4Tl3Ag after structural relaxation (GGA-PBE, the Alexandria database).

Cell: 3.920 4.995 12.239 Å, 90.00 90.00 90.00°
Element x y z (fractional)
Nd 0.000 0.500 0.861
Nd 0.000 0.000 0.145
Nd 0.500 0.000 0.650
Nd 0.500 0.500 0.343
Tl 0.000 0.500 0.586
Tl 0.000 0.000 0.415
Tl 0.500 0.000 0.921
Ag 0.500 0.500 0.078

- formation enthalpy at 0 K (eV/atom) = -0.303
- space-group type = No. 25
- excess energy over the best structure of this formula in the dataset (meV/atom) = 52.1



Final energy values, unit eV per atom, following the record order: -4.581 -7.283 -7.604 -3.931.